1.
A geometry-optimized Cr2CuGeRu structure. Source: the Alexandria database, functional PBE.

a b c (Å): 4.5151 4.5151 4.2832
angles (deg): 90.00 90.00 90.00
Positions (direct):
Cr 0.0000 0.5000 0.0000
Cr 0.5000 0.0000 0.0000
Cu 0.0000 0.0000 0.0000
Ge 0.0000 0.0000 0.5000
Ru 0.5000 0.5000 0.5000

Output
Calculated formation energy (kJ/mol of atoms): 120.0
Total energy (eV/atom): -6.203
Mass density (g/cm3): 6.5
M_tot (Bohr magnetons per cell): 6.6

2.
A geometry-optimized Er2MgNb structure. Source: the Alexandria database, functional PBE.

a b c (Å): 11.8088 11.8088 11.8088
angles (deg): 15.37 15.37 15.37
Positions (direct):
Er 0.0839 0.0839 0.0839
Er 0.9161 0.9161 0.9161
Mg 0.5000 0.5000 0.5000
Nb 0.0000 0.0000 0.0000

Output
Calculated formation energy (kJ/mol of atoms): 48.4
Total energy (eV/atom): -4.696
Distance to the lowest polymorph of the same formula (meV per atom): 379
Mass density (g/cm3): 7.4
M_tot (Bohr magnetons per cell): 0.5

3.
A geometry-optimized CaBiCl6 structure. Source: the Alexandria database, functional PBE.

a b c (Å): 7.2740 7.2740 7.2740
angles (deg): 55.06 55.06 55.06
Positions (direct):
Ca 0.0000 0.0000 0.0000
Bi 0.5000 0.5000 0.5000
Cl 0.0920 0.7387 0.4225
Cl 0.2613 0.5775 0.9080
Cl 0.4225 0.0920 0.7387
Cl 0.5775 0.9080 0.2613
Cl 0.7387 0.4225 0.0920
Cl 0.9080 0.2613 0.5775

Output
Total energy (eV/atom): -3.392
Formation energy from raw total energies (kcal/mol of atoms): -29.32
Mass density (g/cm3): 3.2
M_tot (Bohr magnetons per cell): 0.3

4.
A geometry-optimized AlSnH3 structure. Source: the Alexandria database, functional PBE.

a b c (Å): 3.7982 3.7982 3.7982
angles (deg): 90.00 90.00 90.00
Positions (direct):
Al 0.0000 0.0000 0.0000
Sn 0.5000 0.5000 0.5000
H 0.0000 0.0000 0.5000
H 0.0000 0.5000 0.0000
H 0.5000 0.0000 0.0000

Output
Total energy (eV/atom): -3.156
Distance to the lowest polymorph of the same formula (meV per atom): 0
Mass density (g/cm3): 4.5
M_tot (Bohr magnetons per cell): 0.0

5.
A geometry-optimized Th6PtS5 structure. Source: the Alexandria database, functional PBE.

a b c (Å): 7.0836 7.0836 7.0873
angles (deg): 99.59 99.59 120.13
Positions (direct):
Th 0.0786 0.4148 0.7486
Th 0.2461 0.2461 0.2519
Th 0.4148 0.0786 0.7486
Th 0.5852 0.9214 0.2514
Th 0.7539 0.7539 0.7481
Th 0.9214 0.5852 0.2514
Pt 0.5000 0.5000 0.0000
S 0.0000 0.0000 0.5000
S 0.1673 0.8327 0.0000
S 0.3362 0.6638 0.5000
S 0.6638 0.3362 0.5000
S 0.8327 0.1673 0.0000

Output
Total energy (eV/atom): -7.638
Formation energy from raw total energies (kcal/mol of atoms): -39.30
Mass density (g/cm3): 10.0
M_tot (Bohr magnetons per cell): 0.0

6.
A geometry-optimized Ce3NCl3 structure. Source: the Alexandria database, functional PBE.

a b c (Å): 7.9876 3.7325 10.9771
angles (deg): 90.00 92.77 90.00
Positions (direct):
Ce 0.0943 0.2500 0.3901
Ce 0.1292 0.2500 0.8404
Ce 0.3330 0.7500 0.6177
Ce 0.6670 0.2500 0.3823
Ce 0.8708 0.7500 0.1596
Ce 0.9057 0.7500 0.6099
N 0.1210 0.2500 0.6169
N 0.8790 0.7500 0.3831
Cl 0.1359 0.2500 0.1191
Cl 0.3769 0.7500 0.3577
Cl 0.3911 0.7500 0.8738
Cl 0.6089 0.2500 0.1262
Cl 0.6231 0.2500 0.6423
Cl 0.8641 0.7500 0.8809

Output
Total energy (eV/atom): -6.254
Formation energy from raw total energies (kcal/mol of atoms): -39.89
Mass density (g/cm3): 5.5
M_tot (Bohr magnetons per cell): 5.5

7.
A geometry-optimized DyPuTc structure. Source: the Alexandria database, functional PBE.

a b c (Å): 6.4743 6.4743 6.4743
angles (deg): 149.71 149.71 43.36
Positions (direct):
Dy 0.0000 0.0000 0.0000
Pu 0.2809 0.2809 0.0000
Tc 0.6514 0.6514 0.0000

Output
Calculated formation energy (kJ/mol of atoms): 2.6
Total energy (eV/atom): -9.740
Distance to the lowest polymorph of the same formula (meV per atom): 0
Mass density (g/cm3): 12.2
M_tot (Bohr magnetons per cell): 5.1

8.
A geometry-optimized Tb3Dy6Tm2Th structure. Source: the Alexandria database, functional PBE.

a b c (Å): 6.1322 6.1322 11.7551
angles (deg): 94.99 94.99 119.97
Positions (direct):
Tb 0.0000 0.0000 0.0000
Tb 0.3328 0.6672 0.0000
Tb 0.6672 0.3328 0.0000
Dy 0.0858 0.4163 0.2515
Dy 0.2531 0.2531 0.7483
Dy 0.4163 0.0858 0.2515
Dy 0.5837 0.9142 0.7485
Dy 0.7469 0.7469 0.2517
Dy 0.9142 0.5837 0.7485
Tm 0.1667 0.8333 0.5000
Tm 0.8333 0.1667 0.5000
Th 0.5000 0.5000 0.5000

Output
Calculated formation energy (kJ/mol of atoms): 2.1
Total energy (eV/atom): -4.800
Mass density (g/cm3): 8.9
M_tot (Bohr magnetons per cell): 0.0